Entry from Alexandria: a geometry-optimized KMg2AlFeSi3O12 structure (GGA+U).

Values from the calculation:
Spin magnetization   4.0 μB per formula unit
E_tot   -7.006 eV per atom
Space group   P1 (1)

Unit cell a=5.3021 b=5.3349 c=10.4853 alpha=86.14 beta=81.37 gamma=60.52
With the nearest neighbours (Å) after each atom.
Element x y z (fractional)
K: 0.0000 0.0000 0.0000  3 O 2.74-2.76
Mg: 0.1660 0.6829 0.4700  6 O 2.05-2.18
Mg: 0.8440 0.3273 0.4692  6 O 2.05-2.18
Al: 0.6017 0.6744 0.2023  4 O 1.74-1.78
Fe: 0.4987 0.0021 0.4696  3 O 1.81-1.97
Si: 0.2692 0.3358 0.1985  4 O 1.62-1.69
Si: 0.4108 0.3336 0.7414  4 O 1.63-1.65
Si: 0.7458 0.6693 0.7415  4 O 1.62-1.66
O: 0.0608 0.5055 0.8007  2 Si 1.65-1.66
O: 0.1758 0.0103 0.5636  1 Fe 1.82
O: 0.2130 0.3357 0.3613  1 Si 1.69
O: 0.3761 0.5662 0.1462  1 Si 1.62, 1 Al 1.74
O: 0.4627 0.3347 0.5841  1 Si 1.63
O: 0.5102 0.0172 0.1419  1 Si 1.63, 1 Al 1.74
O: 0.5417 0.6748 0.3743  1 Al 1.78, 1 Fe 1.97
O: 0.5597 0.0027 0.7991  2 Si 1.65-1.66
O: 0.5635 0.5001 0.7989  2 Si 1.65
O: 0.8039 0.6666 0.5850  1 Si 1.62
O: 0.8227 0.0020 0.3861  1 Fe 1.81
O: 0.9627 0.4290 0.1447  1 Si 1.63, 1 Al 1.74